Version a
A relaxed Na2Bi5Pd3 crystal, computed with GGA-PBE.

Summary:
symmetry: Cmc2_1, No. 36

abc: 14.3008 14.3008 7.7529
angles: 90.00 90.00 161.39
Positions (direct):
Na: 0.0246 0.9754 0.5000
Na: 0.3294 0.6706 0.5486
Na: 0.6706 0.3294 0.0486
Na: 0.9754 0.0246 0.0000
Bi: 0.0951 0.9049 0.8842
Bi: 0.2047 0.7953 0.3298
Bi: 0.2084 0.7916 0.7579
Bi: 0.3819 0.6181 0.9947
Bi: 0.4545 0.5455 0.6647
Bi: 0.5455 0.4545 0.1647
Bi: 0.6181 0.3819 0.4947
Bi: 0.7916 0.2084 0.2579
Bi: 0.7953 0.2047 0.8298
Bi: 0.9049 0.0951 0.3842
Pd: 0.1046 0.8954 0.2516
Pd: 0.2742 0.7258 0.0451
Pd: 0.4493 0.5507 0.2765
Pd: 0.5507 0.4493 0.7765
Pd: 0.7258 0.2742 0.5451
Pd: 0.8954 0.1046 0.7516

***

Version b
A relaxed Na2Bi5Pd3 crystal, computed with GGA-PBE.

Summary:
symmetry: Ibam, No. 72

abc: 9.4865 9.4865 9.4865
angles: 104.33 91.40 136.73
Positions (direct):
Na: 0.1667 0.2273 0.3939
Na: 0.3333 0.7273 0.0606
Na: 0.6667 0.2727 0.9394
Na: 0.8333 0.7727 0.6061
Bi: 0.0287 0.7500 0.2787
Bi: 0.0706 0.6728 0.7434
Bi: 0.2500 0.2500 0.0000
Bi: 0.4294 0.1728 0.6022
Bi: 0.4713 0.7500 0.7213
Bi: 0.5287 0.2500 0.2787
Bi: 0.5706 0.8272 0.3978
Bi: 0.7500 0.7500 0.0000
Bi: 0.9294 0.3272 0.2566
Bi: 0.9713 0.2500 0.7213
Pd: 0.1440 0.8929 0.0370
Pd: 0.2500 0.7500 0.5000
Pd: 0.3560 0.3929 0.7489
Pd: 0.6440 0.6071 0.2511
Pd: 0.7500 0.2500 0.5000
Pd: 0.8560 0.1071 0.9630

***

Going by the energies, version a is most stable and the next is 6.5 kJ/mol of atoms up.

***

Version a
A relaxed NaBi2Pd2 crystal, computed with GGA-PBE.

Summary:
symmetry: P-1, No. 2

abc: 5.9397 6.6601 8.0520
angles: 80.63 68.50 63.75
Positions (direct):
Na: 0.1259 0.2485 0.2496
Na: 0.8741 0.7515 0.7504
Bi: 0.1786 0.1422 0.7500
Bi: 0.4296 0.6386 0.2503
Bi: 0.5704 0.3614 0.7497
Bi: 0.8214 0.8578 0.2500
Pd: 0.2784 0.7517 0.9402
Pd: 0.4695 0.7524 0.5594
Pd: 0.5305 0.2476 0.4406
Pd: 0.7216 0.2483 0.0598

***

Version b
A relaxed NaBi2Pd2 crystal, computed with GGA-PBE.

Summary:
symmetry: P4/mbm, No. 127

abc: 8.3857 8.3857 3.3084
angles: 90.00 90.00 90.00
Positions (direct):
Na: 0.0000 0.0000 0.0000
Na: 0.5000 0.5000 0.0000
Bi: 0.1511 0.3489 0.0000
Bi: 0.3489 0.8489 0.0000
Bi: 0.6511 0.1511 0.0000
Bi: 0.8489 0.6511 0.0000
Pd: 0.1397 0.6397 0.5000
Pd: 0.3603 0.1397 0.5000
Pd: 0.6397 0.8603 0.5000
Pd: 0.8603 0.3603 0.5000

***

Version c
A relaxed NaBi2Pd2 crystal, computed with GGA-PBE.

Summary:
symmetry: P4/mbm, No. 127

abc: 8.0609 8.0609 3.5229
angles: 90.00 90.00 90.00
Positions (direct):
Na: 0.0000 0.0000 0.0000
Na: 0.5000 0.5000 0.0000
Bi: 0.1615 0.3385 0.5000
Bi: 0.3385 0.8385 0.5000
Bi: 0.6615 0.1615 0.5000
Bi: 0.8385 0.6615 0.5000
Pd: 0.1302 0.6302 0.0000
Pd: 0.3698 0.1302 0.0000
Pd: 0.6302 0.8698 0.0000
Pd: 0.8698 0.3698 0.0000

***

Version d
A relaxed NaBi2Pd2 crystal, computed with GGA-PBE.

Summary:
symmetry: I4/mmm, No. 139

abc: 5.0441 5.0441 10.2253
angles: 90.00 90.00 90.00
Positions (direct):
Na: 0.0000 0.0000 0.0000
Na: 0.5000 0.5000 0.5000
Bi: 0.0000 0.5000 0.2500
Bi: 0.0000 0.5000 0.7500
Bi: 0.5000 0.0000 0.2500
Bi: 0.5000 0.0000 0.7500
Pd: 0.0000 0.0000 0.3692
Pd: 0.0000 0.0000 0.6308
Pd: 0.5000 0.5000 0.1308
Pd: 0.5000 0.5000 0.8692

***

Going by the energies, version c is most stable and the next is 5.3 kJ/mol of atoms up.

***

Version a
A relaxed NaBiPd3 crystal, computed with GGA-PBE.

Summary:
symmetry: P2_1/m, No. 11

abc: 5.1726 5.6108 6.8914
angles: 90.00 93.50 90.00
Positions (direct):
Na: 0.1227 0.2500 0.1335
Na: 0.8773 0.7500 0.8665
Bi: 0.1369 0.7500 0.3580
Bi: 0.8631 0.2500 0.6420
Pd: 0.3465 0.0003 0.6724
Pd: 0.3465 0.4997 0.6724
Pd: 0.4022 0.7500 0.0240
Pd: 0.5978 0.2500 0.9760
Pd: 0.6535 0.9997 0.3276
Pd: 0.6535 0.5003 0.3276

***

Version b
A relaxed NaBiPd3 crystal, computed with GGA-PBE.

Summary:
symmetry: Pm-3m, No. 221

abc: 5.1426 5.1426 5.1426
angles: 90.00 90.00 90.00
Positions (direct):
Na: 0.0000 0.0000 0.0000
Bi: 0.5000 0.5000 0.5000
Pd: 0.0000 0.5000 0.5000
Pd: 0.5000 0.0000 0.5000
Pd: 0.5000 0.5000 0.0000

***

Version c
A relaxed NaBiPd3 crystal, computed with GGA-PBE.

Summary:
symmetry: Imma, No. 74

abc: 6.7016 6.7016 6.7016
angles: 130.72 110.43 89.92
Positions (direct):
Na: 0.2530 0.0030 0.2500
Na: 0.7470 0.9970 0.7500
Bi: 0.0000 0.5000 0.5000
Bi: 0.5000 0.5000 0.0000
Pd: 0.0443 0.2943 0.7500
Pd: 0.3187 0.0000 0.8187
Pd: 0.3187 0.5000 0.3187
Pd: 0.6813 0.0000 0.1813
Pd: 0.6813 0.5000 0.6813
Pd: 0.9557 0.7057 0.2500

***

Going by the energies, version a is most stable and the next is 3.4 kJ/mol of atoms up.

***

Version a
A relaxed Na2Bi2Pd3 crystal, computed with GGA-PBE.

Summary:
symmetry: C2/m, No. 12

abc: 8.3344 4.8235 8.0461
angles: 90.00 110.32 90.00
Positions (direct):
Na: 0.1359 0.0000 0.4079
Na: 0.3641 0.5000 0.5921
Na: 0.6359 0.5000 0.4079
Na: 0.8641 0.0000 0.5921
Bi: 0.1000 0.5000 0.7991
Bi: 0.4000 0.0000 0.2009
Bi: 0.6000 0.0000 0.7991
Bi: 0.9000 0.5000 0.2009
Pd: 0.0000 0.0000 0.0000
Pd: 0.2228 0.5000 0.1686
Pd: 0.2772 0.0000 0.8314
Pd: 0.5000 0.5000 0.0000
Pd: 0.7228 0.0000 0.1686
Pd: 0.7772 0.5000 0.8314

***

Version b
A relaxed Na2Bi2Pd3 crystal, computed with GGA-PBE.

Summary:
symmetry: C2/m, No. 12

abc: 11.6300 4.2732 7.3125
angles: 90.00 116.43 90.00
Positions (direct):
Na: 0.1270 0.0000 0.2614
Na: 0.3730 0.5000 0.7386
Na: 0.6270 0.5000 0.2614
Na: 0.8730 0.0000 0.7386
Bi: 0.1542 0.0000 0.7474
Bi: 0.3458 0.5000 0.2526
Bi: 0.6542 0.5000 0.7474
Bi: 0.8458 0.0000 0.2526
Pd: 0.0000 0.5000 0.5000
Pd: 0.0973 0.5000 0.9326
Pd: 0.4027 0.0000 0.0674
Pd: 0.5000 0.0000 0.5000
Pd: 0.5973 0.0000 0.9326
Pd: 0.9027 0.5000 0.0674

***

Going by the energies, version a is most stable and the next is 3.9 kJ/mol of atoms up.

***

Version a
A relaxed Na3Bi2Pd4 crystal, computed with GGA-PBE.

Summary:
symmetry: C2/m, No. 12

abc: 5.8057 5.8057 8.7657
angles: 99.21 99.21 47.41
Positions (direct):
Na: 0.0000 0.0000 0.0000
Na: 0.3824 0.3824 0.6193
Na: 0.6176 0.6176 0.3807
Bi: 0.3037 0.3037 0.2399
Bi: 0.6963 0.6963 0.7601
Pd: 0.0856 0.0856 0.6349
Pd: 0.2661 0.2661 0.9183
Pd: 0.7339 0.7339 0.0817
Pd: 0.9144 0.9144 0.3651

***

Version b
A relaxed Na3Bi2Pd4 crystal, computed with GGA-PBE.

Summary:
symmetry: P-3m1, No. 164

abc: 4.8008 4.8008 8.9882
angles: 90.00 90.00 120.00
Positions (direct):
Na: 0.0000 0.0000 0.0000
Na: 0.3333 0.6667 0.4367
Na: 0.6667 0.3333 0.5633
Bi: 0.3333 0.6667 0.7921
Bi: 0.6667 0.3333 0.2079
Pd: 0.0000 0.0000 0.3281
Pd: 0.0000 0.0000 0.6719
Pd: 0.3333 0.6667 0.1078
Pd: 0.6667 0.3333 0.8922

***

Going by the energies, version b is most stable and the next is 0.7 kJ/mol of atoms up.

***

Version a
A relaxed NaTl2BiPd crystal, computed with GGA-PBE.

Summary:
symmetry: P4/mmm, No. 123

abc: 5.2966 5.2966 5.3498
angles: 90.00 90.00 90.00
Positions (direct):
Na: 0.0000 0.0000 0.0000
Tl: 0.0000 0.5000 0.5000
Tl: 0.5000 0.0000 0.5000
Bi: 0.5000 0.5000 0.0000
Pd: 0.0000 0.0000 0.5000

***

Version b
A relaxed NaTl2BiPd crystal, computed with GGA-PBE.

Summary:
symmetry: P4/mmm, No. 123

abc: 5.3485 5.3485 5.6160
angles: 90.00 90.00 90.00
Positions (direct):
Na: 0.0000 0.0000 0.0000
Tl: 0.0000 0.5000 0.5000
Tl: 0.5000 0.0000 0.5000
Bi: 0.5000 0.5000 0.0000
Pd: 0.5000 0.5000 0.5000

***

Going by the energies, version b is most stable and the next is 6.8 kJ/mol of atoms up.

***

Version a
A relaxed NaTlBiPd crystal, computed with GGA-PBE.

Summary:
symmetry: P4mm, No. 99

abc: 3.4948 3.4948 8.2374
angles: 90.00 90.00 90.00
Positions (direct):
Na: 0.0000 0.0000 0.0000
Tl: 0.5000 0.5000 0.2773
Bi: 0.5000 0.5000 0.6876
Pd: 0.0000 0.0000 0.5050

***

Version b
A relaxed NaTlBiPd crystal, computed with GGA-PBE.

Summary:
symmetry: F-43m, No. 216

abc: 7.1685 7.1685 7.1685
angles: 90.00 90.00 90.00
Positions (direct):
Na: 0.0000 0.0000 0.0000
Na: 0.0000 0.5000 0.5000
Na: 0.5000 0.0000 0.5000
Na: 0.5000 0.5000 0.0000
Tl: 0.2500 0.2500 0.7500
Tl: 0.2500 0.7500 0.2500
Tl: 0.7500 0.2500 0.2500
Tl: 0.7500 0.7500 0.7500
Bi: 0.2500 0.2500 0.2500
Bi: 0.2500 0.7500 0.7500
Bi: 0.7500 0.2500 0.7500
Bi: 0.7500 0.7500 0.2500
Pd: 0.0000 0.0000 0.5000
Pd: 0.0000 0.5000 0.0000
Pd: 0.5000 0.0000 0.0000
Pd: 0.5000 0.5000 0.5000

***

Going by the energies, version a is most stable and the next is 8.1 kJ/mol of atoms up.

***

Version a
A relaxed NaPm2Bi crystal, computed with GGA-PBE.

Summary:
symmetry: P4/mmm, No. 123

abc: 5.1525 5.1525 4.5531
angles: 90.00 90.00 90.00
Positions (direct):
Na: 0.0000 0.0000 0.0000
Pm: 0.0000 0.5000 0.5000
Pm: 0.5000 0.0000 0.5000
Bi: 0.5000 0.5000 0.0000

***

Version b
A relaxed NaPm2Bi crystal, computed with GGA-PBE.

Summary:
symmetry: Fm-3m, No. 225

abc: 7.8026 7.8026 7.8026
angles: 90.00 90.00 90.00
Positions (direct):
Na: 0.0000 0.0000 0.0000
Na: 0.0000 0.5000 0.5000
Na: 0.5000 0.0000 0.5000
Na: 0.5000 0.5000 0.0000
Pm: 0.2500 0.2500 0.2500
Pm: 0.2500 0.2500 0.7500
Pm: 0.2500 0.7500 0.2500
Pm: 0.2500 0.7500 0.7500
Pm: 0.7500 0.2500 0.2500
Pm: 0.7500 0.2500 0.7500
Pm: 0.7500 0.7500 0.2500
Pm: 0.7500 0.7500 0.7500
Bi: 0.0000 0.0000 0.5000
Bi: 0.0000 0.5000 0.0000
Bi: 0.5000 0.0000 0.0000
Bi: 0.5000 0.5000 0.5000

***

Going by the energies, version a is most stable and the next is 5.6 kJ/mol of atoms up.

***

Version a
A relaxed NaPmBi2 crystal, computed with GGA-PBE.

Summary:
symmetry: Pmmn, No. 59

abc: 4.5675 4.5683 11.7782
angles: 90.00 90.00 90.00
Positions (direct):
Na: 0.2500 0.2500 0.9998
Na: 0.7500 0.7500 0.0002
Pm: 0.2500 0.7500 0.2833
Pm: 0.7500 0.2500 0.7167
Bi: 0.2500 0.2500 0.5001
Bi: 0.2500 0.7500 0.8000
Bi: 0.7500 0.2500 0.2000
Bi: 0.7500 0.7500 0.4999

***

Version b
A relaxed NaPmBi2 crystal, computed with GGA-PBE.

Summary:
symmetry: P4/mmm, No. 123

abc: 5.8496 5.8496 3.5337
angles: 90.00 90.00 90.00
Positions (direct):
Na: 0.0000 0.0000 0.0000
Pm: 0.5000 0.5000 0.0000
Bi: 0.0000 0.5000 0.5000
Bi: 0.5000 0.0000 0.5000

***

Going by the energies, version a is most stable and the next is 4.8 kJ/mol of atoms up.

***

Version a
A relaxed NaPmBi2 crystal, computed with GGA-PBE.

Summary:
symmetry: Fm-3m, No. 225

abc: 7.8802 7.8802 7.8802
angles: 90.00 90.00 90.00
Positions (direct):
Na: 0.0000 0.0000 0.0000
Na: 0.0000 0.5000 0.5000
Na: 0.5000 0.0000 0.5000
Na: 0.5000 0.5000 0.0000
Pm: 0.0000 0.0000 0.5000
Pm: 0.0000 0.5000 0.0000
Pm: 0.5000 0.0000 0.0000
Pm: 0.5000 0.5000 0.5000
Bi: 0.2500 0.2500 0.2500
Bi: 0.2500 0.2500 0.7500
Bi: 0.2500 0.7500 0.2500
Bi: 0.2500 0.7500 0.7500
Bi: 0.7500 0.2500 0.2500
Bi: 0.7500 0.2500 0.7500
Bi: 0.7500 0.7500 0.2500
Bi: 0.7500 0.7500 0.7500

***

Version b
A relaxed NaPmBi2 crystal, computed with GGA-PBE.

Summary:
symmetry: P4/mmm, No. 123

abc: 4.1844 4.1844 7.0809
angles: 90.00 90.00 90.00
Positions (direct):
Na: 0.0000 0.0000 0.0000
Pm: 0.0000 0.0000 0.5000
Bi: 0.5000 0.5000 0.2619
Bi: 0.5000 0.5000 0.7381

***

Going by the energies, version b is most stable and the next is 6.9 kJ/mol of atoms up.

***

Version a
A relaxed Na2Bi2Pt3 crystal, computed with GGA-PBE.

Summary:
symmetry: C2/m, No. 12

abc: 13.2209 4.2620 6.0521
angles: 90.00 94.95 90.00
Positions (direct):
Na: 0.1611 0.0000 0.3724
Na: 0.3389 0.5000 0.6276
Na: 0.6611 0.5000 0.3724
Na: 0.8389 0.0000 0.6276
Bi: 0.0775 0.5000 0.7600
Bi: 0.4225 0.0000 0.2400
Bi: 0.5775 0.0000 0.7600
Bi: 0.9225 0.5000 0.2400
Pt: 0.0000 0.0000 0.0000
Pt: 0.2015 0.0000 0.9119
Pt: 0.2985 0.5000 0.0881
Pt: 0.5000 0.5000 0.0000
Pt: 0.7015 0.5000 0.9119
Pt: 0.7985 0.0000 0.0881

***

Version b
A relaxed Na2Bi2Pt3 crystal, computed with GGA-PBE.

Summary:
symmetry: C2/m, No. 12

abc: 11.8110 4.3447 7.3450
angles: 90.00 120.07 90.00
Positions (direct):
Na: 0.1315 0.0000 0.2653
Na: 0.3685 0.5000 0.7347
Na: 0.6315 0.5000 0.2653
Na: 0.8685 0.0000 0.7347
Bi: 0.1571 0.0000 0.7613
Bi: 0.3429 0.5000 0.2387
Bi: 0.6571 0.5000 0.7613
Bi: 0.8429 0.0000 0.2387
Pt: 0.0000 0.5000 0.5000
Pt: 0.0810 0.5000 0.9236
Pt: 0.4190 0.0000 0.0764
Pt: 0.5000 0.0000 0.5000
Pt: 0.5810 0.0000 0.9236
Pt: 0.9190 0.5000 0.0764

***

Going by the energies, version b is most stable and the next is 1.2 kJ/mol of atoms up.